(1)
Below is Ti5Mn2BeAl2 after structural relaxation, with properties calculated at the PBE level.

The structure in POSCAR format:
```
Ti5Mn2BeAl2
1.0
3.035 0.000 0.000
0.000 9.963 0.000
0.000 0.000 9.963
Ti Mn Be Al
10 4 2 4
Direct
0.500 0.195 0.072 Ti
0.500 0.805 0.928 Ti
0.500 0.072 0.805 Ti
0.500 0.695 0.428 Ti
0.500 0.928 0.195 Ti
0.500 0.305 0.572 Ti
0.500 0.572 0.695 Ti
0.500 0.428 0.305 Ti
0.500 0.500 0.000 Ti
0.500 0.000 0.500 Ti
0.000 0.134 0.634 Mn
0.000 0.866 0.366 Mn
0.000 0.634 0.866 Mn
0.000 0.366 0.134 Mn
0.000 0.000 0.000 Be
0.000 0.500 0.500 Be
0.000 0.672 0.172 Al
0.000 0.328 0.828 Al
0.000 0.172 0.328 Al
0.000 0.828 0.672 Al
```



(2)
Below is Ba2AcBi2O6 after structural relaxation, with properties calculated at the PBE level.

The structure in POSCAR format:
```
Ba2AcBi2O6
1.0
6.772 0.000 0.000
-3.386 5.527 -0.164
0.000 -3.339 6.613
Ba Ac Bi O
2 1 2 6
Direct
0.709 0.419 0.131 Ba
0.291 0.581 0.869 Ba
0.500 0.000 0.500 Ac
0.937 0.873 0.741 Bi
0.063 0.127 0.259 Bi
0.721 0.442 0.489 O
0.169 0.837 0.206 O
0.332 0.163 0.794 O
0.831 0.163 0.794 O
0.668 0.837 0.206 O
0.279 0.558 0.511 O
```

Raw formation energy: -2.0095 eV per atom



(3)
Below is KReAs2Os after structural relaxation, with properties calculated at the PBE level.

The structure in POSCAR format:
```
KReAs2Os
1.0
-2.247 3.612 2.078
-4.507 -3.805 1.740
2.308 -0.887 4.037
Re As Os K
1 2 1 1
Direct
0.500 0.500 0.500 Re
0.000 0.000 0.500 As
0.500 0.000 0.000 As
0.000 0.000 0.000 Os
0.000 0.500 0.000 K
```



(4)
Below is As3H after structural relaxation, with properties calculated at the PBE level.

The structure in POSCAR format:
```
As3H
1.0
-3.331 -0.605 -1.413
-1.139 -1.264 3.227
-1.554 5.139 1.464
H As
1 3
Direct
0.500 0.000 0.783 H
0.000 0.000 0.829 As
0.000 0.500 0.509 As
0.500 0.500 0.212 As
```



(5)
Below is SrMnCr2 after structural relaxation, with properties calculated at the PBE level.

The structure in POSCAR format:
```
SrMnCr2
1.0
3.646 0.000 0.000
0.000 4.756 0.000
0.000 0.000 4.825
Cr Mn Sr
2 1 1
Direct
0.000 0.000 0.000 Cr
0.500 0.500 0.000 Cr
0.500 0.000 0.500 Mn
0.000 0.500 0.500 Sr
```

Polymorph energy (0 for the lowest one): 37.4 kJ/mol of atoms



(6)
Below is TaCd2Te after structural relaxation, with properties calculated at the PBE level.

The structure in POSCAR format:
```
TaCd2Te
1.0
-1.221 -4.277 3.956
4.170 -2.238 3.611
-2.107 5.265 -1.808
Cd Te Ta
2 1 1
Direct
0.000 0.000 0.000 Cd
0.500 0.500 0.000 Cd
0.750 0.250 0.500 Te
0.250 0.750 0.500 Ta
```

Raw formation energy: 0.4491 eV per atom



(7)
Below is Cs4AuCl2 after structural relaxation, with properties calculated at the PBE level.

The structure in POSCAR format:
```
Cs4AuCl2
1.0
-3.482 1.803 5.534
-5.715 -2.280 -2.853
-3.138 -8.362 4.907
Cs Au Cl
4 1 2
Direct
0.213 0.213 0.574 Cs
0.787 0.787 0.426 Cs
0.000 0.500 0.000 Cs
0.500 0.000 0.000 Cs
0.000 0.000 0.000 Au
0.393 0.393 0.215 Cl
0.607 0.607 0.785 Cl
```

Raw formation energy: -1.0493 eV per atom



(8)
Below is TlSb3Pb12 after structural relaxation, with properties calculated at the PBE level.

The structure in POSCAR format:
```
TlSb3Pb12
1.0
-2.681 -4.312 0.215
3.593 -2.088 2.926
-9.047 6.406 15.681
Tl Sb Pb
1 3 12
Direct
0.000 0.000 0.000 Tl
0.000 0.000 0.251 Sb
0.000 0.000 0.500 Sb
0.000 0.000 0.749 Sb
0.500 0.500 0.000 Pb
0.500 0.500 0.252 Pb
0.500 0.500 0.500 Pb
0.500 0.500 0.748 Pb
0.500 0.000 0.128 Pb
0.500 0.000 0.376 Pb
0.500 0.000 0.624 Pb
0.500 0.000 0.872 Pb
0.000 0.500 0.128 Pb
0.000 0.500 0.376 Pb
0.000 0.500 0.624 Pb
0.000 0.500 0.872 Pb
```

Raw formation energy: 0.0314 eV per atom



(9)
Below is MnAlAg2 after structural relaxation, with properties calculated at the PBE level.

The structure in POSCAR format:
```
MnAlAg2
1.0
-4.368 -7.642 2.233
-2.418 -8.748 0.307
-1.647 -8.363 3.133
Mn Al Ag
1 1 2
Direct
0.750 0.750 0.750 Mn
0.250 0.250 0.250 Al
0.999 0.999 0.999 Ag
0.501 0.501 0.501 Ag
```



(10)
Below is Ho2ZrGe3Pt4 after structural relaxation, with properties calculated at the PBE level.

The structure in POSCAR format:
```
Ho2ZrGe3Pt4
1.0
4.142 0.000 0.000
0.000 4.142 0.000
0.000 0.000 11.304
Ho Zr Ge Pt
2 1 3 4
Direct
0.500 0.000 0.224 Ho
0.000 0.500 0.776 Ho
0.500 0.500 0.500 Zr
0.000 0.000 0.500 Ge
0.500 0.000 0.865 Ge
0.000 0.500 0.135 Ge
0.500 0.500 0.000 Pt
0.000 0.000 0.000 Pt
0.500 0.000 0.651 Pt
0.000 0.500 0.349 Pt
```



(11)
Below is MnZn2Re after structural relaxation, with properties calculated at the PBE level.

The structure in POSCAR format:
```
MnZn2Re
1.0
8.968 -0.004 -0.003
8.554 2.693 -0.003
8.554 1.313 2.351
Mn Re Zn
1 1 2
Direct
0.250 0.250 0.250 Mn
0.750 0.750 0.750 Re
0.998 0.998 0.998 Zn
0.502 0.502 0.502 Zn
```

Polymorph energy (0 for the lowest one): 14.3 kJ/mol of atoms



(12)
Below is K2ZnReIr after structural relaxation, with properties calculated at the PBE level.

The structure in POSCAR format:
```
K2ZnReIr
1.0
-4.421 -3.208 -2.097
2.866 -1.713 -3.421
1.545 -4.421 3.508
Re Zn Ir K
1 1 1 2
Direct
0.500 0.500 0.500 Re
0.000 0.000 0.000 Zn
0.000 0.500 0.000 Ir
0.000 0.000 0.500 K
0.500 0.000 0.000 K
```



For each record above, in turn, the calculated DFT total energy values are -7.02 -6.14 -5.18 -4.00 -6.58 -3.76 -2.53 -3.67 -4.46 -6.50 -5.84 -3.18 eV per atom.
For each record above, in turn, the calculated volume values are 15.062 22.166 27.565 18.615 20.917 21.690 59.092 31.002 16.861 19.392 14.234 32.727 A^3/atom.